InAs2AuO after structural relaxation. Source: Alexandria, functional PBE.

## Properties
Magnetic moment in μB/cell: 0.0
Formation energy from raw total energies in eV/atom: 0.5366
Mass density in kg/m³: 7063

```
InAs2AuO
1.0
-4.8510 -1.3929 1.8516
1.6415 -2.6809 2.2839
0.4588 3.6335 3.9354
As Au O In
2 1 1 1
direct
0.0000 0.0000 0.5000 As
0.5000 0.0000 0.0000 As
0.5000 0.5000 0.5000 Au
0.0000 0.5000 0.0000 O
0.0000 0.0000 0.0000 In
```



Nd3GaI3 after structural relaxation. Source: Alexandria, functional PBE.

## Properties
Magnetic moment in μB/cell: 0.0
Formation energy from raw total energies in eV/atom: -1.0892
Mass density in kg/m³: 5929

```
Nd3GaI3
1.0
-8.0791 -6.4070 -3.4486
3.7965 -3.7384 9.4777
-3.7223 10.1289 1.3286
Nd Ga I
12 4 12
direct
0.9716 0.4858 0.2358 Nd
0.5142 0.0284 0.2642 Nd
0.2500 0.0142 0.4858 Nd
0.9858 0.7500 0.0142 Nd
0.9858 0.2358 0.4716 Nd
0.7642 0.0142 0.0284 Nd
0.7358 0.4716 0.4858 Nd
0.7642 0.7500 0.2358 Nd
0.5284 0.2642 0.0142 Nd
0.2500 0.2358 0.2642 Nd
0.7358 0.2642 0.7500 Nd
0.5142 0.4858 0.7500 Nd
0.7500 0.5000 0.0000 Ga
0.5000 0.2500 0.5000 Ga
0.7500 0.2500 0.2500 Ga
0.0000 0.0000 0.2500 Ga
0.2424 0.9924 0.9847 I
0.7500 0.7576 0.7424 I
0.4847 0.7424 0.9924 I
0.0076 0.2500 0.9924 I
0.2576 0.7424 0.2500 I
0.4924 0.5076 0.2500 I
0.2424 0.2500 0.7576 I
0.2576 0.5153 0.5076 I
0.7500 0.9924 0.5076 I
0.0153 0.5076 0.7576 I
0.0076 0.7576 0.5153 I
0.4924 0.9847 0.7424 I
```



Y3NbRe after structural relaxation. Source: Alexandria, functional PBE.

## Properties
Magnetic moment in μB/cell: 3.1
Energy of formation from the pure elements in kJ/mol of atoms: 80.39
Mass density in kg/m³: 5949

```
Y3NbRe
1.0
-4.3348 -2.8678 -1.2290
2.7357 -2.4820 -3.8575
1.5002 -3.7604 3.4834
Y Re Nb
3 1 1
direct
0.0000 0.5000 0.0000 Y
0.0000 0.0000 0.5000 Y
0.5000 0.0000 0.0000 Y
0.0000 0.0000 0.0000 Re
0.5000 0.5000 0.5000 Nb
```



Nd2Er6Sc after structural relaxation. Source: Alexandria, functional PBE.

## Properties
Magnetic moment in μB/cell: 0.0
Energy of formation from the pure elements in kJ/mol of atoms: 9.97
Mass density in kg/m³: 7992

```
Nd2Er6Sc
1.0
6.0050 -0.1004 -0.0972
1.1798 9.7665 1.4794
1.1798 1.7950 9.7134
Nd Er Sc
4 12 2
direct
0.4375 0.5671 0.7755 Nd
0.0625 0.2245 0.4329 Nd
0.5625 0.4329 0.2245 Nd
0.9375 0.7755 0.5671 Nd
0.4888 0.6909 0.4071 Er
0.0112 0.5929 0.3091 Er
0.5112 0.3091 0.5929 Er
0.9888 0.4071 0.6909 Er
0.6348 0.0674 0.3407 Er
0.8652 0.6593 0.9326 Er
0.3652 0.9326 0.6593 Er
0.1348 0.3407 0.0674 Er
0.3275 0.7602 0.0247 Er
0.1725 0.9753 0.2398 Er
0.6725 0.2398 0.9753 Er
0.8275 0.0247 0.7602 Er
0.2500 0.1032 0.8968 Sc
0.7500 0.8968 0.1032 Sc
```